Here is an optimized crystal structure of CsTl2Hg7 from the Alexandria database. Energies are from PBE-GGA.

Values from the calculation:
The calculation puts the total energy at -7.830 eV/f.u. The calculation puts the formation energy at -0.01 eV per atom. Its distance to the lowest polymorph of the same formula is 22.1 meV/atom. For the density of states at the Fermi level, the calculation gives 0.385 states/eV per atom.

a = 8.6452 Å, b = 15.3125 Å, c = 6.1515 Å
α = 90.00°, β = 90.00°, γ = 90.00°
Last column: nearest neighbours and their distance in Å.
Space group Cmmm (No. 65)
One atom of each set of equivalent atoms:
1 Cs 0.0000 0.0000 0.0000  8 Hg 3.82
2 Tl 0.0000 0.2864 0.5000  7 Hg 3.10-3.27
3 Hg 0.0000 0.3093 0.0000  2 Tl 3.10
4 Hg 0.0000 0.5000 0.5000  4 Hg 3.15, 2 Tl 3.27
5 Hg 0.1864 0.1041 0.5000  3 Hg 3.15-3.22, 2 Tl 3.19-3.22